[1]
# PrEr2In9 | the Alexandria database | PBE | relaxed
data_PrEr2In9
_chemical_formula_sum 'Pr1 Er2 In9'
_cell_length_a 4.664
_cell_length_b 4.664
_cell_length_c 13.962
_cell_angle_alpha 90.00
_cell_angle_beta 90.00
_cell_angle_gamma 90.00
_symmetry_space_group_name_H-M 'P 4/m m m'
_symmetry_Int_Tables_number 123
_symmetry_space_group_name_Hall '-P 4 2'
loop_
_atom_site_label
_atom_site_fract_x
_atom_site_fract_y
_atom_site_fract_z
Pr1 0.000 0.000 0.000
Er1 0.000 0.000 0.336
In1 0.000 0.500 0.172
In2 0.000 0.500 0.500
In3 0.500 0.500 0.000
In4 0.500 0.500 0.335
# Final energy   -3.625 eV/atom
# Formation energy   -0.41 eV per atom

=====

[2]
# Fe2Ni5Rh5 | the Alexandria database | PBE | relaxed
data_Fe2Ni5Rh5
_chemical_formula_sum 'Fe4 Ni10 Rh10'
_cell_length_a 11.228
_cell_length_b 3.689
_cell_length_c 8.223
_cell_angle_alpha 90.00
_cell_angle_beta 116.94
_cell_angle_gamma 90.00
_symmetry_space_group_name_H-M 'C 1 2/m 1'
_symmetry_Int_Tables_number 12
_symmetry_space_group_name_Hall '-C 2y'
loop_
_atom_site_label
_atom_site_fract_x
_atom_site_fract_y
_atom_site_fract_z
Fe1 0.161 0.000 0.496
Ni1 0.000 0.500 0.500
Ni2 0.084 0.500 0.255
Ni3 0.165 0.500 0.999
Rh1 0.000 0.000 0.000
Rh2 0.083 0.000 0.750
Rh3 0.250 0.000 0.257
# Final energy   -6.878 eV/atom
# Formation energy   0.00 eV per atom

=====

[3]
# Sm2MgIn9 | the Alexandria database | PBE | relaxed
data_Sm2MgIn9
_chemical_formula_sum 'Sm2 Mg1 In9'
_cell_length_a 4.686
_cell_length_b 4.686
_cell_length_c 13.910
_cell_angle_alpha 90.00
_cell_angle_beta 90.00
_cell_angle_gamma 90.00
_symmetry_space_group_name_H-M 'P 4/m m m'
_symmetry_Int_Tables_number 123
_symmetry_space_group_name_Hall '-P 4 2'
loop_
_atom_site_label
_atom_site_fract_x
_atom_site_fract_y
_atom_site_fract_z
Sm1 0.000 0.000 0.167
Mg1 0.000 0.000 0.500
In1 0.000 0.500 0.000
In2 0.000 0.500 0.341
In3 0.500 0.500 0.167
In4 0.500 0.500 0.500
# Final energy   -3.276 eV/atom
# Formation energy   -0.30 eV per atom

=====

[4]
# Pm2GaGePb | the Alexandria database | PBE | relaxed
data_Pm2GaGePb
_chemical_formula_sum 'Pm4 Ga2 Ge2 Pb2'
_cell_length_a 6.533
_cell_length_b 4.446
_cell_length_c 8.892
_cell_angle_alpha 90.00
_cell_angle_beta 90.78
_cell_angle_gamma 90.00
_symmetry_space_group_name_H-M 'P 1 21/m 1'
_symmetry_Int_Tables_number 11
_symmetry_space_group_name_Hall '-P 2yb'
loop_
_atom_site_label
_atom_site_fract_x
_atom_site_fract_y
_atom_site_fract_z
Pm1 0.238 0.250 0.466
Pm2 0.248 0.250 0.032
Ga1 0.446 0.750 0.255
Ge1 0.064 0.750 0.244
Pb1 0.269 0.750 0.748
# Final energy   -4.769 eV/atom
# Formation energy   -0.60 eV per atom

=====

[5]
# Tl2TcSbO6 | the Alexandria database | PBE | relaxed
data_Tl2TcSbO6
_chemical_formula_sum 'Tl4 Tc2 Sb2 O12'
_cell_length_a 5.543
_cell_length_b 5.543
_cell_length_c 11.546
_cell_angle_alpha 90.00
_cell_angle_beta 90.00
_cell_angle_gamma 90.00
_symmetry_space_group_name_H-M 'I 4/m m m'
_symmetry_Int_Tables_number 139
_symmetry_space_group_name_Hall '-I 4 2'
loop_
_atom_site_label
_atom_site_fract_x
_atom_site_fract_y
_atom_site_fract_z
Tl1 0.000 0.500 0.250
Tc1 0.000 0.000 0.000
Sb1 0.000 0.000 0.500
O1 0.000 0.000 0.335
O2 0.234 0.234 0.000
# Final energy   -5.867 eV/atom
# Formation energy (no corrections)   -0.970 eV per atom

=====

[6]
# TlSbIr2Br | the Alexandria database | PBE | relaxed
data_TlSbIr2Br
_chemical_formula_sum 'Tl1 Sb1 Ir2 Br1'
_cell_length_a 5.065
_cell_length_b 5.065
_cell_length_c 5.363
_cell_angle_alpha 90.00
_cell_angle_beta 90.00
_cell_angle_gamma 90.00
_symmetry_space_group_name_H-M 'P 4/m m m'
_symmetry_Int_Tables_number 123
_symmetry_space_group_name_Hall '-P 4 2'
loop_
_atom_site_label
_atom_site_fract_x
_atom_site_fract_y
_atom_site_fract_z
Tl1 0.000 0.000 0.000
Sb1 0.500 0.500 0.500
Ir1 0.000 0.500 0.000
Br1 0.000 0.000 0.500
# Final energy   -3.438 eV/atom
# Energy above the lowest structure with this stoichiometry   0.2865 eV per atom
# Formation energy (no corrections)   1.739 eV per atom

=====

[7]
# TlCrTeN2 | the Alexandria database | PBE | relaxed
data_TlCrTeN2
_chemical_formula_sum 'Tl1 Cr1 Te1 N2'
_cell_length_a 3.986
_cell_length_b 3.986
_cell_length_c 5.625
_cell_angle_alpha 90.00
_cell_angle_beta 90.00
_cell_angle_gamma 90.00
_symmetry_space_group_name_H-M 'P 4/m m m'
_symmetry_Int_Tables_number 123
_symmetry_space_group_name_Hall '-P 4 2'
loop_
_atom_site_label
_atom_site_fract_x
_atom_site_fract_y
_atom_site_fract_z
Tl1 0.000 0.000 0.000
Cr1 0.500 0.500 0.500
Te1 0.500 0.500 0.000
N1 0.000 0.500 0.500
# Final energy   -5.656 eV/atom
# Energy above the lowest structure with this stoichiometry   0.0000 eV per atom
# Formation energy (no corrections)   0.700 eV per atom

=====

[8]
# ReAsSN2 | the Alexandria database | PBE | relaxed
data_ReAsSN2
_chemical_formula_sum 'Re1 As1 S1 N2'
_cell_length_a 3.605
_cell_length_b 3.605
_cell_length_c 6.193
_cell_angle_alpha 90.00
_cell_angle_beta 90.00
_cell_angle_gamma 90.00
_symmetry_space_group_name_H-M 'P 4/m m m'
_symmetry_Int_Tables_number 123
_symmetry_space_group_name_Hall '-P 4 2'
loop_
_atom_site_label
_atom_site_fract_x
_atom_site_fract_y
_atom_site_fract_z
Re1 0.000 0.000 0.000
As1 0.500 0.500 0.500
S1 0.500 0.500 0.000
N1 0.000 0.500 0.500
# Final energy   -5.771 eV/atom
# Energy above the lowest structure with this stoichiometry   1.1318 eV per atom
# Formation energy (no corrections)   1.804 eV per atom

=====

[9]
# CaMoSe2 | the Alexandria database | PBE | relaxed
data_CaMoSe2
_chemical_formula_sum 'Ca1 Mo1 Se2'
_cell_length_a 3.658
_cell_length_b 3.704
_cell_length_c 7.004
_cell_angle_alpha 90.00
_cell_angle_beta 90.00
_cell_angle_gamma 90.00
_symmetry_space_group_name_H-M 'P m m m'
_symmetry_Int_Tables_number 47
_symmetry_space_group_name_Hall '-P 2 2'
loop_
_atom_site_label
_atom_site_fract_x
_atom_site_fract_y
_atom_site_fract_z
Ca1 0.000 0.000 0.000
Mo1 0.000 0.500 0.500
Se1 0.500 0.500 0.239
# Final energy   -5.472 eV/atom
# Energy above the lowest structure with this stoichiometry   0.2561 eV per atom
# Formation energy (no corrections)   -0.521 eV per atom

=====

[10]
# Y2Zn2I | the Alexandria database | PBE | relaxed
data_Y2Zn2I
_chemical_formula_sum 'Y4 Zn4 I2'
_cell_length_a 8.227
_cell_length_b 8.227
_cell_length_c 3.718
_cell_angle_alpha 90.00
_cell_angle_beta 90.00
_cell_angle_gamma 90.00
_symmetry_space_group_name_H-M 'P 4/m b m'
_symmetry_Int_Tables_number 127
_symmetry_space_group_name_Hall '-P 4 2ab'
loop_
_atom_site_label
_atom_site_fract_x
_atom_site_fract_y
_atom_site_fract_z
Y1 0.181 0.319 0.000
Zn1 0.109 0.609 0.500
I1 0.000 0.000 0.500
# Final energy   -3.701 eV/atom
# Energy above the lowest structure with this stoichiometry   0.0452 eV per atom
# Formation energy (no corrections)   -0.295 eV per atom

=====

[11]
# Tb3Dy4Tl2 | the Alexandria database | PBE | relaxed
data_Tb3Dy4Tl2
_chemical_formula_sum 'Tb6 Dy8 Tl4'
_cell_length_a 12.122
_cell_length_b 5.388
_cell_length_c 10.216
_cell_angle_alpha 90.00
_cell_angle_beta 125.89
_cell_angle_gamma 90.00
_symmetry_space_group_name_H-M 'C 1 2/m 1'
_symmetry_Int_Tables_number 12
_symmetry_space_group_name_Hall '-C 2y'
loop_
_atom_site_label
_atom_site_fract_x
_atom_site_fract_y
_atom_site_fract_z
Tb1 0.000 0.000 0.000
Tb2 0.145 0.500 0.679
Dy1 0.098 0.000 0.428
Dy2 0.232 0.500 0.081
Tl1 0.087 0.500 0.255
# Final energy   -4.273 eV/atom
# Formation energy   -0.16 eV per atom

=====

[12]
# TbPu2Hg | the Alexandria database | PBE | relaxed
data_TbPu2Hg
_chemical_formula_sum 'Tb1 Pu2 Hg1'
_cell_length_a 4.136
_cell_length_b 4.136
_cell_length_c 6.466
_cell_angle_alpha 90.00
_cell_angle_beta 90.00
_cell_angle_gamma 90.00
_symmetry_space_group_name_H-M 'P 4/m m m'
_symmetry_Int_Tables_number 123
_symmetry_space_group_name_Hall '-P 4 2'
loop_
_atom_site_label
_atom_site_fract_x
_atom_site_fract_y
_atom_site_fract_z
Tb1 0.000 0.000 0.000
Pu1 0.500 0.500 0.268
Hg1 0.000 0.000 0.500
# Final energy   -8.334 eV/atom
# Energy above the lowest structure with this stoichiometry   0.1066 eV per atom
# Formation energy   0.06 eV per atom